Below is Ag6AuS4 after structural relaxation, with properties calculated at the GGA-PBE level.

Properties
- Magnetic moment: 0.000 μB per cell
- Calculated volume: 229.9 Å³/cell
- Raw formation energy: 0.016 eV per atom
- Total DFT energy (no corrections): -0.1227 hartree per atom

Unit cell a=7.3444 b=7.5090 c=7.5080 alpha=73.06 beta=130.86 gamma=130.87
With the nearest neighbours (Å) after each atom.
Fractional positions:
Ag 0.8663 0.7892 0.4320  2 S 2.46-2.48
Ag 0.8663 0.4319 0.7893  2 S 2.46-2.48
Ag 0.1795 0.4341 0.4340  2 S 2.40
Ag 0.6334 0.6031 0.9718  3 S 2.52-2.71
Ag 0.5090 0.1000 0.0999  4 S 2.62-2.67, 1 Ag 2.86
Ag 0.6335 0.9718 0.6031  3 S 2.52-2.71
Au 0.0290 0.1264 0.1265  2 S 2.36-2.37
S 0.1202 0.6823 0.1485  4 Ag 2.40-2.66
S 0.5667 0.3457 0.3457  1 Au 2.36, 3 Ag 2.48-2.63
S 0.1202 0.1486 0.6822  4 Ag 2.40-2.67
S 0.4758 0.8668 0.8668  1 Au 2.37, 3 Ag 2.60-2.62

Below is Ag3AuS2 after structural relaxation, with properties calculated at the GGA-PBE level.

Properties
- Magnetic moment: 0.000 μB per cell
- Calculated volume: 147.9 Å³/cell
- Raw formation energy: -0.061 eV per atom
- Offset from the most stable computed form: 0.0000 eV per atom
- Total DFT energy (no corrections): -0.1253 hartree per atom

Unit cell a=5.2878 b=5.2936 c=5.3030 alpha=92.79 beta=87.12 gamma=87.02
With the nearest neighbours (Å) after each atom.
Fractional positions:
Ag 0.7542 0.6666 0.0865  2 S 2.42
Ag 0.3541 0.0656 0.2891  2 S 2.42
Ag 0.9537 0.2669 0.6875  2 S 2.42
Au 0.3544 0.6670 0.6874  2 S 2.32
S 0.0885 0.9333 0.9541  1 Au 2.32, 3 Ag 2.42
S 0.6201 0.4006 0.4205  1 Au 2.32, 3 Ag 2.42

Below is Ag3AuS2 after structural relaxation, with properties calculated at the GGA-PBE level.

Properties
- Magnetic moment: 0.000 μB per cell
- Calculated volume: 240.9 Å³/cell
- Raw formation energy: -0.027 eV per atom
- Offset from the most stable computed form: 0.0337 eV per atom
- Total DFT energy (no corrections): -0.1240 hartree per atom

Unit cell a=4.9562 b=7.4951 c=7.8884 alpha=118.36 beta=108.31 gamma=90.00
With the nearest neighbours (Å) after each atom.
Fractional positions:
Ag 0.5000 0.2500 0.0000  4 S 2.77
Ag 0.5000 0.7500 0.0000  4 S 2.77
Ag 0.8149 0.0649 0.6299  2 S 2.51
Ag 0.1851 0.4351 0.3701  2 S 2.51
Ag 0.1851 0.9351 0.3701  2 S 2.51
Ag 0.8149 0.5649 0.6299  2 S 2.51
Au 0.0000 0.5000 0.0000  2 S 2.40
Au 0.0000 0.0000 0.0000  2 S 2.40
S 0.5434 0.3596 0.7191  1 Au 2.40, 2 Ag 2.51
S 0.8243 0.1404 0.2809  1 Au 2.40, 2 Ag 2.51
S 0.1757 0.8596 0.7191  1 Au 2.40, 2 Ag 2.51
S 0.4566 0.6404 0.2809  1 Au 2.40, 2 Ag 2.51

Below is Ag3AuS2 after structural relaxation, with properties calculated at the GGA-PBE level.

Properties
- Magnetic moment: 0.000 μB per cell
- Calculated volume: 954.3 Å³/cell
- Raw formation energy: -0.033 eV per atom
- Offset from the most stable computed form: 0.0276 eV per atom
- Total DFT energy (no corrections): -0.1242 hartree per atom

Unit cell a=9.8453 b=9.8453 c=9.8453 alpha=90.00 beta=90.00 gamma=90.00
With the nearest neighbours (Å) after each atom.
Fractional positions:
Ag 0.2500 0.3838 0.0000  4 S 2.66-2.86, 2 Ag 2.95
Ag 0.5000 0.7500 0.8838  4 S 2.66-2.86, 2 Ag 2.95
Ag 0.7500 0.1162 0.0000  4 S 2.66-2.86, 2 Ag 2.95
Ag 0.0000 0.2500 0.3838  4 S 2.66-2.86, 2 Ag 2.95
Ag 0.2500 0.6162 0.5000  4 S 2.66-2.86, 2 Ag 2.95
Ag 0.7500 0.8838 0.5000  4 S 2.66-2.86, 2 Ag 2.95
Ag 0.5000 0.2500 0.6162  4 S 2.66-2.86, 2 Ag 2.95
Ag 0.8838 0.5000 0.7500  4 S 2.66-2.86, 2 Ag 2.95
Ag 0.6162 0.5000 0.2500  4 S 2.66-2.86, 2 Ag 2.95
Ag 0.1162 0.0000 0.7500  4 S 2.66-2.86, 2 Ag 2.95
Ag 0.7500 0.6338 0.0000  4 S 2.66-2.86, 2 Ag 2.95
Ag 0.7500 0.3662 0.5000  4 S 2.66-2.86, 2 Ag 2.95
Ag 0.5000 0.2500 0.1338  4 S 2.66-2.86, 2 Ag 2.95
Ag 0.5000 0.7500 0.3662  4 S 2.66-2.86, 2 Ag 2.95
Ag 0.8662 0.0000 0.2500  4 S 2.66-2.86, 2 Ag 2.95
Ag 0.3662 0.5000 0.7500  4 S 2.66-2.86, 2 Ag 2.95
Ag 0.2500 0.1338 0.5000  4 S 2.66-2.86, 2 Ag 2.95
Ag 0.0000 0.7500 0.6338  4 S 2.66-2.86, 2 Ag 2.95
Ag 0.0000 0.2500 0.8662  4 S 2.66-2.86, 2 Ag 2.95
Ag 0.1338 0.5000 0.2500  4 S 2.66-2.86, 2 Ag 2.95
Ag 0.6338 0.0000 0.7500  4 S 2.66-2.86, 2 Ag 2.95
Ag 0.3838 0.0000 0.2500  4 S 2.66-2.86, 2 Ag 2.95
Ag 0.0000 0.7500 0.1162  4 S 2.66-2.86, 2 Ag 2.95
Ag 0.2500 0.8662 0.0000  4 S 2.66-2.86, 2 Ag 2.95
Au 0.6253 0.6253 0.6253  2 S 2.37
Au 0.8753 0.6247 0.3753  2 S 2.37
Au 0.6247 0.3753 0.8753  2 S 2.37
Au 0.3753 0.8753 0.6247  2 S 2.37
Au 0.1253 0.8747 0.3747  2 S 2.37
Au 0.8747 0.3747 0.1253  2 S 2.37
Au 0.3747 0.1253 0.8747  2 S 2.37
Au 0.1247 0.1247 0.1247  2 S 2.37
S 0.7643 0.7643 0.7643  1 Au 2.37, 3 Ag 2.66
S 0.0143 0.4857 0.5143  1 Au 2.37, 3 Ag 2.66
S 0.4857 0.5143 0.0143  1 Au 2.37, 3 Ag 2.66
S 0.5143 0.0143 0.4857  1 Au 2.37, 3 Ag 2.66
S 0.2643 0.7357 0.2357  1 Au 2.37, 3 Ag 2.66
S 0.7357 0.2357 0.2643  1 Au 2.37, 3 Ag 2.66
S 0.2357 0.2643 0.7357  1 Au 2.37, 3 Ag 2.66
S 0.9857 0.9857 0.9857  1 Au 2.37, 3 Ag 2.66
S 0.7638 0.2362 0.7362  1 Au 2.37
S 0.2362 0.7362 0.7638  1 Au 2.37
S 0.9862 0.0138 0.5138  1 Au 2.37
S 0.0138 0.5138 0.9862  1 Au 2.37
S 0.5138 0.9862 0.0138  1 Au 2.37
S 0.2638 0.2638 0.2638  1 Au 2.37
S 0.4862 0.4862 0.4862  1 Au 2.37
S 0.7362 0.7638 0.2362  1 Au 2.37

Below is AgAu2S6 after structural relaxation, with properties calculated at the GGA-PBE level.

Properties
- Magnetic moment: 0.000 μB per cell
- Calculated volume: 253.4 Å³/cell
- Raw formation energy: 0.062 eV per atom
- Total DFT energy (no corrections): -0.1373 hartree per atom

Unit cell a=12.6371 b=6.2868 c=9.5177 alpha=58.34 beta=153.40 gamma=130.60
With the nearest neighbours (Å) after each atom.
Fractional positions:
Ag 0.0000 0.0000 0.0000  4 S 2.53-2.62
Au 0.5779 0.2775 0.7580  2 S 2.31-2.33
Au 0.4221 0.7225 0.2420  2 S 2.31-2.33
S 0.8569 0.0083 0.5762  1 S 2.07
S 0.0186 0.5337 0.1190  1 S 2.09, 1 Au 2.31
S 0.8046 0.3602 0.3540  2 S 2.07-2.12
S 0.9814 0.4663 0.8810  1 S 2.09, 1 Au 2.31
S 0.1431 0.9917 0.4238  1 S 2.07
S 0.1954 0.6398 0.6460  2 S 2.07-2.12

Below is Ag3AuS after structural relaxation, with properties calculated at the GGA-PBE level.

Properties
- Magnetic moment: 0.000 μB per cell
- Calculated volume: 135.1 Å³/cell
- Raw formation energy: 0.796 eV per atom
- Offset from the most stable computed form: 0.4956 eV per atom
- Total DFT energy (no corrections): -0.0880 hartree per atom

Unit cell a=5.1313 b=5.1313 c=5.1313 alpha=90.00 beta=90.00 gamma=90.00
With the nearest neighbours (Å) after each atom.
Fractional positions:
S 0.5000 0.5000 0.5000  12 Ag 3.63
Au 0.0000 0.0000 0.0000  6 Ag 2.57
Ag 0.0000 0.5000 0.0000  2 Au 2.57
Ag 0.0000 0.0000 0.5000  2 Au 2.57
Ag 0.5000 0.0000 0.0000  2 Au 2.57